RePtCl | PBEsol | relaxed

```
3
Lattice="-0.540 -0.373 4.006 1.334 -3.314 1.928 3.181 0.254 2.510" Properties=species:S:1:pos:R:3 pbc="T T T"
Re 1.987 -1.716 4.222
Pt 0.000 0.000 0.000
Cl 0.994 -0.858 2.111
```

## Properties
**Offset from the most stable computed form**: 726 meV per atom
**E_form (uncorrected)**: 1.518 eV/atom
**Crystal system**: cubic